Here is an optimized crystal structure of Li2CaP from Alexandria. Energies are from PBE.

Calculated values
The density of states at the Fermi level comes out at 3.52 states/eV per cell. The value obtained for the formation energy from the elements is -0.3943 eV/atom. For the raw total energy, the calculation gives -3.204 eV per atom.

a = 4.974 Å, b = 4.983 Å, c = 6.886 Å
α = 90.00°, β = 90.00°, γ = 90.00°
Space group Cmm2 (No. 35)
Unique sites:
Li  0.000  0.000  0.000 x2
Li  0.000  0.500  0.203 x2
Ca  0.000  0.000  0.596 x2
P  0.000  0.500  0.834 x2

Here is an optimized crystal structure of LiLuAgBi from Alexandria. Energies are from PBE.

Calculated values
The density of states at the Fermi level comes out at 6.21 states/eV per cell. The value obtained for the formation energy from the elements is -0.3964 eV/atom. For the raw total energy, the calculation gives -3.688 eV per atom.

a = 7.180 Å, b = 7.180 Å, c = 7.180 Å
α = 90.00°, β = 90.00°, γ = 90.00°
Space group F-43m (No. 216)
Unique sites:
Li  0.000  0.000  0.000 x4
Lu  0.000  0.000  0.500 x4
Ag  0.250  0.250  0.250 x4
Bi  0.250  0.250  0.750 x4